A relaxed ReMo2Cl crystal. Source: Alexandria, functional GGA-PBE.

Lattice parameters (Å, degrees): 6.7904 6.7904 5.5882 52.59 52.59 90.00
Sites, in units of the cell vectors:
Re  0.7500  0.2500  0.5000
Re  0.0000  0.0000  0.0000
Cl  0.5000  0.5000  0.0000
Cl  0.2500  0.7500  0.5000
Mo  0.8750  0.8567  0.7500
Mo  0.6067  0.1250  0.2500
Mo  0.1433  0.6250  0.2500
Mo  0.3750  0.3933  0.7500

Results
Energy above the most stable polymorph in this dataset (eV/atom): 0.828